A geometry-optimized MgFe structure. Source: Alexandria, functional PBE.

The structure in extended XYZ format:
```
4
Lattice="1.698 -2.218 0.000 1.698 2.218 0.000 0.000 0.000 8.488" Properties=species:S:1:pos:R:3 pbc="T T T"
Mg 1.698 1.109 7.170
Mg 1.698 -1.109 1.318
Fe 1.698 1.109 3.419
Fe 1.698 -1.109 5.069
```

Summary:
The crystal system is orthorhombic. The value obtained for the total energy is -4.81 eV per atom. For the formation energy from the elements, the calculation gives 0.218 eV per atom. As for the density of states at the Fermi level: 1.4 states/eV/f.u. The space group is No. 67. For the total magnetization, the calculation gives 1.26 μB per atom.